PBE LiY2Pt, optimized geometry; energy above the most stable polymorph in this dataset = 0.034 eV per atom; calculated volume = 87.4 Å³ per cell; theoretical density = 7.2 Mg/m³
1.0
4.892 0.000 0.000
0.000 4.892 0.000
0.000 0.000 3.653
Li Y Pt
1 2 1
Direct
0.000 0.000 0.000 Li
0.000 0.500 0.500 Y
0.500 0.000 0.500 Y
0.500 0.500 0.000 Pt